Compound: CoSn6Au
Source: Alexandria
Functional: PBE
Structure: optimized geometry

extended XYZ file:
```
16
Lattice="-7.2454 -3.8540 0.9055 6.2847 -5.3419 -0.3674 1.2165 4.9091 6.3627" Properties=species:S:1:pos:R:3 pbc="T T T"
Sn 4.5315 -3.4573 2.1306
Sn 0.7541 -3.0790 1.2014
Sn 0.4259 -6.2206 1.3853
Sn 1.2821 0.0461 3.0775
Sn -0.1701 1.9338 5.5154
Sn -4.2756 -0.8296 4.7701
Sn 3.9110 -0.1287 4.7834
Sn -0.4983 -1.2078 5.6992
Sn -2.0736 -1.1820 2.6775
Sn 2.3294 -3.1048 4.2232
Sn -1.0263 -4.3330 3.8232
Sn -3.6551 -4.1582 2.1173
Au 3.1424 -2.6709 -0.1837
Au -3.6227 -1.9270 0.4527
Co 0.1279 -2.1434 3.4503
Co 0.6082 2.4545 3.1813
```

## Properties
The crystal system is monoclinic. For the total magnetization, the calculation gives 0.0 μB/cell. As for the energy above the most stable polymorph in this dataset: 0 meV/atom. Its mass density is 7.60 Mg/m³.